(1)
# Pm2Sm6ErMg | the Alexandria database | PBE | optimized geometry
# * total DFT energy (no corrections): -4.28 eV/atom
# * DFT formation energy: 0.1124 eV per atom
# * space-group type: C2/c (15)
data_Pm2Sm6ErMg
_chemical_formula_sum 'Pm4 Sm12 Er2 Mg2'
_space_group_name_H-M_alt 'P 1'
_space_group_IT_number 1
_cell_length_a 9.6188
_cell_length_b 8.7977
_cell_length_c 8.7977
_cell_angle_alpha 116.83
_cell_angle_beta 94.24
_cell_angle_gamma 94.24
loop_
_space_group_symop_operation_xyz
'x,y,z'
loop_
_atom_site_label
_atom_site_fract_x
_atom_site_fract_y
_atom_site_fract_z
Sm1 0.4481 0.2408 0.8742
Sm2 0.9481 0.8742 0.2408
Pm1 0.9519 0.6985 0.7962
Sm3 0.5519 0.7592 0.1258
Sm4 0.6143 0.4998 0.7074
Sm5 0.8067 0.4292 0.9957
Sm6 0.8857 0.2926 0.5002
Sm7 0.1143 0.7074 0.4998
Sm8 0.0519 0.1258 0.7592
Sm9 0.3067 0.9957 0.4292
Mg1 0.2500 0.4083 0.5917
Pm2 0.5481 0.2038 0.3015
Pm3 0.4519 0.7962 0.6985
Sm10 0.1933 0.5708 0.0043
Er1 0.2500 0.9817 0.0183
Mg2 0.7500 0.5917 0.4083
Er2 0.7500 0.0183 0.9817
Sm11 0.6933 0.0043 0.5708
Sm12 0.3857 0.5002 0.2926
Pm4 0.0481 0.3015 0.2038

(2)
# ZrTiW2 | the Alexandria database | PBE | optimized geometry
# * total DFT energy (no corrections): -9.82 eV/atom
# * DFT formation energy: 0.7718 eV per atom
# * space-group type: I-42d (122)
data_ZrTiW2
_chemical_formula_sum 'Zr2 Ti2 W4'
_space_group_name_H-M_alt 'P 1'
_space_group_IT_number 1
_cell_length_a 7.3934
_cell_length_b 7.3934
_cell_length_c 5.8980
_cell_angle_alpha 51.19
_cell_angle_beta 51.19
_cell_angle_gamma 90.00
loop_
_space_group_symop_operation_xyz
'x,y,z'
loop_
_atom_site_label
_atom_site_fract_x
_atom_site_fract_y
_atom_site_fract_z
Ti1 0.5000 0.5000 0.0000
Zr1 0.0000 0.0000 0.0000
W1 0.1426 0.6250 0.2500
Ti2 0.2500 0.7500 0.5000
W2 0.3750 0.3926 0.7500
Zr2 0.7500 0.2500 0.5000
W3 0.6074 0.1250 0.2500
W4 0.8750 0.8574 0.7500

(3)
# SbMo2Br | the Alexandria database | PBE | optimized geometry
# * total DFT energy (no corrections): -5.99 eV/atom
# * formation energy without anion corrections: 0.87 eV/atom
# * space-group type: I-4m2 (119)
data_SbMo2Br
_chemical_formula_sum 'Sb1 Mo2 Br1'
_space_group_name_H-M_alt 'P 1'
_space_group_IT_number 1
_cell_length_a 5.0727
_cell_length_b 5.0727
_cell_length_c 5.0727
_cell_angle_alpha 130.17
_cell_angle_beta 130.17
_cell_angle_gamma 73.13
loop_
_space_group_symop_operation_xyz
'x,y,z'
loop_
_atom_site_label
_atom_site_fract_x
_atom_site_fract_y
_atom_site_fract_z
Sb1 0.5000 0.5000 0.0000
Mo1 0.2500 0.7500 0.5000
Mo2 0.0000 0.0000 0.0000
Br1 0.7500 0.2500 0.5000

(4)
# ZrSc3Ir | the Alexandria database | PBE | optimized geometry
# * total DFT energy (no corrections): -7.71 eV/atom
# * DFT formation energy: -0.4249 eV per atom
# * space-group type: P-1 (2)
data_ZrSc3Ir
_chemical_formula_sum 'Zr2 Sc6 Ir2'
_space_group_name_H-M_alt 'P 1'
_space_group_IT_number 1
_cell_length_a 3.3558
_cell_length_b 7.4712
_cell_length_c 8.7893
_cell_angle_alpha 102.65
_cell_angle_beta 100.99
_cell_angle_gamma 90.00
loop_
_space_group_symop_operation_xyz
'x,y,z'
loop_
_atom_site_label
_atom_site_fract_x
_atom_site_fract_y
_atom_site_fract_z
Sc1 0.5980 0.4914 0.4526
Sc2 0.2219 0.2965 0.7014
Zr1 0.8228 0.0643 0.9041
Sc3 0.4180 0.8173 0.0926
Sc4 0.6086 0.9281 0.4739
Sc5 0.4125 0.4074 0.0828
Ir1 0.8125 0.5545 0.8827
Sc6 0.2325 0.7333 0.7227
Ir2 0.0180 0.6701 0.2927
Zr2 0.0077 0.1603 0.2713

(5)
# Cs2Sr4Ag | the Alexandria database | PBE | optimized geometry
# * total DFT energy (no corrections): -1.54 eV/atom
# * DFT formation energy: 0.0772 eV per atom
# * space-group type: I4/mmm (139)
data_Cs2Sr4Ag
_chemical_formula_sum 'Cs2 Sr4 Ag1'
_space_group_name_H-M_alt 'P 1'
_space_group_IT_number 1
_cell_length_a 6.3704
_cell_length_b 6.3704
_cell_length_c 12.7508
_cell_angle_alpha 75.53
_cell_angle_beta 75.53
_cell_angle_gamma 90.00
loop_
_space_group_symop_operation_xyz
'x,y,z'
loop_
_atom_site_label
_atom_site_fract_x
_atom_site_fract_y
_atom_site_fract_z
Sr1 0.8711 0.8711 0.2577
Cs1 0.6716 0.6716 0.6569
Cs2 0.3284 0.3284 0.3431
Sr2 0.1289 0.1289 0.7423
Sr3 0.0000 0.5000 0.0000
Ag1 0.0000 0.0000 0.0000
Sr4 0.5000 0.0000 0.0000

(6)
# CePrCoBr | the Alexandria database | PBE | optimized geometry
# * total DFT energy (no corrections): -5.60 eV/atom
# * formation energy without anion corrections: -0.73 eV/atom
# * space-group type: Cm (8)
data_CePrCoBr
_chemical_formula_sum 'Ce1 Pr1 Co1 Br1'
_space_group_name_H-M_alt 'P 1'
_space_group_IT_number 1
_cell_length_a 4.1332
_cell_length_b 3.9368
_cell_length_c 8.0449
_cell_angle_alpha 86.40
_cell_angle_beta 104.90
_cell_angle_gamma 121.66
loop_
_space_group_symop_operation_xyz
'x,y,z'
loop_
_atom_site_label
_atom_site_fract_x
_atom_site_fract_y
_atom_site_fract_z
Pr1 0.4939 0.1310 0.6684
Co1 0.3015 0.5212 0.8931
Br1 0.9685 0.3890 0.3588
Ce1 0.1139 0.9896 0.0493

(7)
# ZnNi6 | the Alexandria database | PBE | optimized geometry
# * total DFT energy (no corrections): -4.14 eV/atom
# * DFT formation energy: 0.9942 eV per atom
# * space-group type: Im-3m (229)
data_ZnNi6
_chemical_formula_sum 'Zn1 Ni6'
_space_group_name_H-M_alt 'P 1'
_space_group_IT_number 1
_cell_length_a 5.3538
_cell_length_b 5.3538
_cell_length_c 5.3538
_cell_angle_alpha 109.47
_cell_angle_beta 109.47
_cell_angle_gamma 109.47
loop_
_space_group_symop_operation_xyz
'x,y,z'
loop_
_atom_site_label
_atom_site_fract_x
_atom_site_fract_y
_atom_site_fract_z
Zn1 0.0000 0.0000 0.0000
Ni1 0.2500 0.5000 0.7500
Ni2 0.5000 0.2500 0.7500
Ni3 0.2500 0.7500 0.5000
Ni4 0.7500 0.5000 0.2500
Ni5 0.5000 0.7500 0.2500
Ni6 0.7500 0.2500 0.5000

(8)
# RhPb2Cl | the Alexandria database | PBE | optimized geometry
# * total DFT energy (no corrections): -4.22 eV/atom
# * formation energy without anion corrections: -0.06 eV/atom
# * space-group type: I-42d (122)
data_RhPb2Cl
_chemical_formula_sum 'Rh2 Pb4 Cl2'
_space_group_name_H-M_alt 'P 1'
_space_group_IT_number 1
_cell_length_a 6.6285
_cell_length_b 6.6285
_cell_length_c 7.7797
_cell_angle_alpha 64.78
_cell_angle_beta 64.78
_cell_angle_gamma 90.00
loop_
_space_group_symop_operation_xyz
'x,y,z'
loop_
_atom_site_label
_atom_site_fract_x
_atom_site_fract_y
_atom_site_fract_z
Cl1 0.2500 0.7500 0.5000
Rh1 0.7500 0.2500 0.5000
Pb1 0.8750 0.9302 0.7500
Pb2 0.6802 0.1250 0.2500
Rh2 0.0000 0.0000 0.0000
Pb3 0.0698 0.6250 0.2500
Pb4 0.3750 0.3198 0.7500
Cl2 0.5000 0.5000 0.0000

(9)
# La6SmTm3 | the Alexandria database | PBE | optimized geometry
# * total DFT energy (no corrections): -4.64 eV/atom
# * DFT formation energy: 0.1326 eV per atom
# * space-group type: P2_1/c (14)
data_La6SmTm3
_chemical_formula_sum 'La12 Sm2 Tm6'
_space_group_name_H-M_alt 'P 1'
_space_group_IT_number 1
_cell_length_a 9.4480
_cell_length_b 9.4507
_cell_length_c 7.8037
_cell_angle_alpha 89.99
_cell_angle_beta 90.00
_cell_angle_gamma 90.00
loop_
_space_group_symop_operation_xyz
'x,y,z'
loop_
_atom_site_label
_atom_site_fract_x
_atom_site_fract_y
_atom_site_fract_z
La1 0.8720 0.3630 0.5029
La2 0.3720 0.1370 0.9971
Tm1 0.0000 0.0000 0.5000
Tm2 0.1684 0.3311 0.2482
La3 0.6371 0.8706 0.5008
Tm3 0.6684 0.1689 0.2518
La4 0.1280 0.6370 0.4971
La5 0.1371 0.6294 0.9992
Sm1 0.0000 0.0000 0.0000
Sm2 0.5000 0.5000 0.5000
La6 0.8305 0.6689 0.2499
La7 0.6280 0.8630 0.0029
Tm4 0.5000 0.5000 0.0000
La8 0.6695 0.1689 0.7499
La9 0.8629 0.3706 0.0008
Tm5 0.8316 0.6689 0.7518
La10 0.3629 0.1294 0.4992
La11 0.1695 0.3311 0.7501
Tm6 0.3316 0.8311 0.7482
La12 0.3305 0.8311 0.2501

(10)
# MgZr2Cd | the Alexandria database | PBE | optimized geometry
# * total DFT energy (no corrections): -4.95 eV/atom
# * DFT formation energy: -0.0472 eV per atom
# * space-group type: Cm (8)
data_MgZr2Cd
_chemical_formula_sum 'Mg1 Zr2 Cd1'
_space_group_name_H-M_alt 'P 1'
_space_group_IT_number 1
_cell_length_a 5.6459
_cell_length_b 5.6459
_cell_length_c 5.4166
_cell_angle_alpha 69.34
_cell_angle_beta 69.34
_cell_angle_gamma 33.30
loop_
_space_group_symop_operation_xyz
'x,y,z'
loop_
_atom_site_label
_atom_site_fract_x
_atom_site_fract_y
_atom_site_fract_z
Cd1 0.5021 0.5021 0.4387
Zr1 0.7529 0.7529 0.8054
Zr2 0.0025 0.0025 0.9454
Mg1 0.2425 0.2425 0.3105

(11)
# Sr2MnGa2 | the Alexandria database | PBE | optimized geometry
# * total DFT energy (no corrections): -3.50 eV/atom
# * DFT formation energy: 0.2165 eV per atom
# * space-group type: I4/mmm (139)
data_Sr2MnGa2
_chemical_formula_sum 'Sr2 Mn1 Ga2'
_space_group_name_H-M_alt 'P 1'
_space_group_IT_number 1
_cell_length_a 3.8591
_cell_length_b 3.8591
_cell_length_c 10.2285
_cell_angle_alpha 79.13
_cell_angle_beta 79.13
_cell_angle_gamma 90.00
loop_
_space_group_symop_operation_xyz
'x,y,z'
loop_
_atom_site_label
_atom_site_fract_x
_atom_site_fract_y
_atom_site_fract_z
Mn1 0.0000 0.0000 0.0000
Ga1 0.7500 0.2500 0.5000
Sr1 0.6030 0.6030 0.7941
Sr2 0.3970 0.3970 0.2059
Ga2 0.2500 0.7500 0.5000

(12)
# TaInSe3 | the Alexandria database | PBE | optimized geometry
# * total DFT energy (no corrections): -5.38 eV/atom
# * formation energy without anion corrections: -0.37 eV/atom
# * space-group type: Pm-3m (221)
data_TaInSe3
_chemical_formula_sum 'Ta1 In1 Se3'
_space_group_name_H-M_alt 'P 1'
_space_group_IT_number 1
_cell_length_a 5.0963
_cell_length_b 5.0963
_cell_length_c 5.0963
_cell_angle_alpha 90.00
_cell_angle_beta 90.00
_cell_angle_gamma 90.00
loop_
_space_group_symop_operation_xyz
'x,y,z'
loop_
_atom_site_label
_atom_site_fract_x
_atom_site_fract_y
_atom_site_fract_z
Ta1 0.0000 0.0000 0.0000
Se1 0.0000 0.5000 0.0000
In1 0.5000 0.5000 0.5000
Se2 0.5000 0.0000 0.0000
Se3 0.0000 0.0000 0.5000